First-principles (GGA-PBEsol) data for a geometry-optimized Ta3OsRh structure, as listed in Alexandria via LeMat-Bulk.

Cell: 4.728 4.728 4.728 Å, 90.00 90.00 90.00°
Atoms (fractional coordinates):
Ta1 0.000 0.000 0.500
Ta2 0.000 0.500 0.000
Ta3 0.500 0.000 0.000
Os1 0.000 0.000 0.000
Rh1 0.500 0.500 0.500

- Space-group type: No. 221
- Formation energy: 133.9 kJ per mole of atoms
- V: 105.71 Å³ per cell

=====

First-principles (GGA-PBEsol) data for a geometry-optimized Ta2OsRh structure, as listed in Alexandria via LeMat-Bulk.

Cell: 4.156 4.156 3.613 Å, 90.00 90.00 90.00°
Atoms (fractional coordinates):
Ta1 0.000 0.500 0.000
Ta2 0.500 0.000 0.000
Os1 0.000 0.000 0.500
Rh1 0.500 0.500 0.500

- Space-group type: No. 123
- Formation energy: -32.5 kJ per mole of atoms
- V: 62.39 Å³ per cell

=====

First-principles (GGA-PBEsol) data for a geometry-optimized TaOsRh structure, as listed in Alexandria via LeMat-Bulk.

Cell: 2.758 2.758 6.805 Å, 90.00 90.00 120.00°
Atoms (fractional coordinates):
Ta1 0.000 0.000 0.000
Os1 0.333 0.667 0.657
Rh1 0.667 0.333 0.334

- Space-group type: No. 156
- Formation energy: 0.2 kJ per mole of atoms
- V: 44.83 Å³ per cell

=====

First-principles (GGA-PBEsol) data for a geometry-optimized TaOsRh2 structure, as listed in Alexandria via LeMat-Bulk.

Cell: 3.845 3.845 3.887 Å, 90.00 90.00 90.00°
Atoms (fractional coordinates):
Ta1 0.000 0.000 0.000
Os1 0.500 0.500 0.000
Rh1 0.000 0.500 0.500
Rh2 0.500 0.000 0.500

- Space-group type: No. 123
- Polymorph energy (0 for the lowest one): 0 meV/atom
- Formation energy: -42.1 kJ per mole of atoms
- V: 57.47 Å³ per cell

=====

First-principles (GGA-PBEsol) data for a geometry-optimized TaOsRh2 structure, as listed in Alexandria via LeMat-Bulk.

Cell: 4.754 4.754 4.754 Å, 132.30 132.30 69.75°
Atoms (fractional coordinates):
Ta1 0.000 0.000 0.000
Os1 0.500 0.500 0.000
Rh1 0.250 0.750 0.500
Rh2 0.750 0.250 0.500

- Space-group type: No. 139
- Polymorph energy (0 for the lowest one): 66 meV/atom
- Formation energy: -35.7 kJ per mole of atoms
- V: 57.64 Å³ per cell

=====

First-principles (GGA-PBEsol) data for a geometry-optimized TaOs2Rh structure, as listed in Alexandria via LeMat-Bulk.

Cell: 4.740 4.740 4.740 Å, 131.56 131.56 70.92°
Atoms (fractional coordinates):
Ta1 0.000 0.000 0.000
Os1 0.500 0.500 0.000
Os2 0.750 0.250 0.500
Rh1 0.250 0.750 0.500

- Space-group type: No. 119
- Polymorph energy (0 for the lowest one): 64 meV/atom
- Formation energy: -21.7 kJ per mole of atoms
- V: 58.38 Å³ per cell

=====

First-principles (GGA-PBEsol) data for a geometry-optimized TaOs2Rh structure, as listed in Alexandria via LeMat-Bulk.

Cell: 4.711 2.767 4.728 Å, 90.00 108.74 90.00°
Atoms (fractional coordinates):
Ta1 0.000 0.000 0.000
Os1 0.500 0.000 0.500
Os2 0.500 0.500 0.000
Rh1 0.000 0.500 0.500

- Space-group type: No. 10
- Polymorph energy (0 for the lowest one): 117 meV/atom
- Formation energy: -16.6 kJ per mole of atoms
- V: 58.36 Å³ per cell

=====

First-principles (GGA-PBEsol) data for a geometry-optimized TaOs2Rh structure, as listed in Alexandria via LeMat-Bulk.

Cell: 3.858 3.858 3.911 Å, 90.00 90.00 90.00°
Atoms (fractional coordinates):
Ta1 0.000 0.000 0.000
Os1 0.000 0.500 0.500
Os2 0.500 0.000 0.500
Rh1 0.500 0.500 0.000

- Space-group type: No. 123
- Polymorph energy (0 for the lowest one): 0 meV/atom
- Formation energy: -27.9 kJ per mole of atoms
- V: 58.21 Å³ per cell

=====

First-principles (GGA-PBEsol) data for a geometry-optimized Ta2OsRh structure, as listed in Alexandria via LeMat-Bulk.

Cell: 2.958 3.621 5.832 Å, 90.00 90.00 90.00°
Atoms (fractional coordinates):
Ta1 0.000 0.000 0.247
Ta2 0.000 0.000 0.753
Os1 0.500 0.500 0.000
Rh1 0.500 0.500 0.500

- Space-group type: No. 47
- Formation energy: -31.6 kJ per mole of atoms
- V: 62.48 Å³ per cell

=====

First-principles (GGA-PBEsol) data for a geometry-optimized Ta2OsRh structure, as listed in Alexandria via LeMat-Bulk.

Cell: 4.655 4.655 4.655 Å, 126.93 126.93 78.37°
Atoms (fractional coordinates):
Ta1 0.250 0.750 0.500
Ta2 0.750 0.250 0.500
Os1 0.000 0.000 0.000
Rh1 0.500 0.500 0.000

- Space-group type: No. 139
- Formation energy: -33.8 kJ per mole of atoms
- V: 62.45 Å³ per cell

=====

First-principles (GGA-PBEsol) data for a geometry-optimized Ta2OsRh structure, as listed in Alexandria via LeMat-Bulk.

Cell: 4.657 4.657 2.945 Å, 90.00 90.00 102.30°
Atoms (fractional coordinates):
Ta1 0.000 0.500 0.000
Ta2 0.500 0.000 0.000
Os1 0.000 0.000 0.500
Rh1 0.500 0.500 0.500

- Space-group type: No. 65
- Formation energy: -32.9 kJ per mole of atoms
- V: 62.41 Å³ per cell

=====

First-principles (GGA-PBEsol) data for a geometry-optimized TaOs2Rh structure, as listed in Alexandria via LeMat-Bulk.

Cell: 2.752 2.752 7.769 Å, 90.00 90.00 90.00°
Atoms (fractional coordinates):
Ta1 0.000 0.000 0.000
Os1 0.000 0.000 0.499
Os2 0.500 0.500 0.270
Rh1 0.500 0.500 0.746

- Space-group type: No. 99
- Polymorph energy (0 for the lowest one): 174 meV/atom
- Formation energy: -11.1 kJ per mole of atoms
- V: 58.83 Å³ per cell

=====

First-principles (GGA-PBEsol) data for a geometry-optimized TaOs2Rh structure, as listed in Alexandria via LeMat-Bulk.

Cell: 4.747 4.747 4.737 Å, 99.91 99.91 34.06°
Atoms (fractional coordinates):
Ta1 0.000 0.000 0.000
Os1 0.247 0.247 0.713
Os2 0.504 0.504 0.508
Rh1 0.753 0.753 0.240

- Space-group type: No. 8
- Polymorph energy (0 for the lowest one): 151 meV/atom
- Formation energy: -13.3 kJ per mole of atoms
- V: 58.80 Å³ per cell

=====

First-principles (GGA-PBEsol) data for a geometry-optimized TaOsRh2 structure, as listed in Alexandria via LeMat-Bulk.

Cell: 4.743 4.743 4.677 Å, 100.29 100.29 34.28°
Atoms (fractional coordinates):
Ta1 0.000 0.000 0.000
Os1 0.500 0.500 0.500
Rh1 0.247 0.247 0.741
Rh2 0.753 0.753 0.259

- Space-group type: No. 12
- Polymorph energy (0 for the lowest one): 233 meV/atom
- Formation energy: -19.6 kJ per mole of atoms
- V: 58.21 Å³ per cell

=====

First-principles (GGA-PBEsol) data for a geometry-optimized TcOs2Rh structure, as listed in Alexandria via LeMat-Bulk.

Cell: 3.809 3.809 3.803 Å, 90.00 90.00 90.00°
Atoms (fractional coordinates):
Tc1 0.000 0.000 0.000
Os1 0.000 0.500 0.500
Os2 0.500 0.000 0.500
Rh1 0.500 0.500 0.000

- Space-group type: No. 123
- Polymorph energy (0 for the lowest one): 0 meV/atom
- Formation energy: 2.5 kJ per mole of atoms
- V: 55.17 Å³ per cell

=====

First-principles (GGA-PBEsol) data for a geometry-optimized Tc2OsRh structure, as listed in Alexandria via LeMat-Bulk.

Cell: 2.709 4.302 4.717 Å, 90.00 90.00 90.00°
Atoms (fractional coordinates):
Tc1 0.000 0.000 0.000
Tc2 0.000 0.500 0.330
Os1 0.500 0.500 0.831
Rh1 0.500 0.000 0.491

- Space-group type: No. 25
- Polymorph energy (0 for the lowest one): 0 meV/atom
- Formation energy: -14.6 kJ per mole of atoms
- V: 54.96 Å³ per cell

=====

First-principles (GGA-PBEsol) data for a geometry-optimized TcOs2Rh structure, as listed in Alexandria via LeMat-Bulk.

Cell: 4.663 4.663 2.694 Å, 90.00 90.00 109.43°
Atoms (fractional coordinates):
Tc1 0.000 0.000 0.000
Os1 0.000 0.500 0.500
Os2 0.500 0.000 0.500
Rh1 0.500 0.500 0.000

- Space-group type: No. 65
- Polymorph energy (0 for the lowest one): 30 meV/atom
- Formation energy: 5.4 kJ per mole of atoms
- V: 55.25 Å³ per cell

=====

First-principles (GGA-PBEsol) data for a geometry-optimized TcOs3Rh structure, as listed in Alexandria via LeMat-Bulk.

Cell: 4.535 4.535 4.535 Å, 90.00 90.00 90.00°
Atoms (fractional coordinates):
Tc1 0.000 0.000 0.000
Os1 0.000 0.500 0.500
Os2 0.500 0.000 0.500
Os3 0.500 0.500 0.000
Rh1 0.500 0.500 0.500

- Space-group type: No. 221
- Formation energy: 273.6 kJ per mole of atoms
- V: 93.25 Å³ per cell

=====

First-principles (GGA-PBEsol) data for a geometry-optimized Tc2OsRh structure, as listed in Alexandria via LeMat-Bulk.

Cell: 4.638 4.638 4.638 Å, 131.26 131.26 71.40°
Atoms (fractional coordinates):
Tc1 0.000 0.000 0.000
Tc2 0.750 0.250 0.500
Os1 0.500 0.500 0.000
Rh1 0.250 0.750 0.500

- Space-group type: No. 119
- Polymorph energy (0 for the lowest one): 137 meV/atom
- Formation energy: -1.3 kJ per mole of atoms
- V: 55.18 Å³ per cell

=====

First-principles (GGA-PBEsol) data for a geometry-optimized TeOsRh2 structure, as listed in Alexandria via LeMat-Bulk.

Cell: 4.871 4.871 4.871 Å, 134.77 130.62 69.19°
Atoms (fractional coordinates):
Te1 0.000 0.000 0.000
Os1 0.500 0.500 0.000
Rh1 0.236 0.736 0.500
Rh2 0.764 0.264 0.500

- Formation energy without anion corrections: 1.5 eV/f.u.
- Space-group type: No. 71
- V: 61.14 Å³ per cell